Material: Ag2SnPW
Method: DFT, PBE
State: relaxed

Cell and atoms, written as CIF:
```
data_Ag2SnPW
_symmetry_space_group_name_H-M 'P 1'
_symmetry_Int_Tables_number 1
_symmetry_space_group_name_Hall 'P 1'
_cell_length_a 5.044
_cell_length_b 5.044
_cell_length_c 5.234
_cell_angle_alpha 90.00
_cell_angle_beta 90.00
_cell_angle_gamma 90.00
loop_
_atom_site_label
_atom_site_type_symbol
_atom_site_fract_x
_atom_site_fract_y
_atom_site_fract_z
_atom_site_occupancy
Ag1 Ag 0.000 0.500 0.000 1
Ag2 Ag 0.500 0.000 0.000 1
Sn1 Sn 0.000 0.000 0.000 1
P1 P 0.500 0.500 0.500 1
W1 W 0.000 0.000 0.500 1
```

Results
ΔE_f: 8.6 eV per formula unit
symmetry: P4/mmm (123)


Material: SrAgP
Method: DFT, PBE
State: relaxed

Cell and atoms, written as CIF:
```
data_SrAgP
_symmetry_space_group_name_H-M 'P 1'
_symmetry_Int_Tables_number 1
_symmetry_space_group_name_Hall 'P 1'
_cell_length_a 5.943
_cell_length_b 5.556
_cell_length_c 4.011
_cell_angle_alpha 74.86
_cell_angle_beta 64.48
_cell_angle_gamma 40.66
loop_
_atom_site_label
_atom_site_type_symbol
_atom_site_fract_x
_atom_site_fract_y
_atom_site_fract_z
_atom_site_occupancy
Sr1 Sr 0.000 0.000 0.000 1
Ag1 Ag 0.291 0.291 0.709 1
P1 P 0.690 0.690 0.310 1
```

Results
ΔE_f: -0.6 eV per formula unit
symmetry: Fmm2 (42)


Material: Sr2AgP
Method: DFT, PBE
State: relaxed

Cell and atoms, written as CIF:
```
data_Sr2AgP
_symmetry_space_group_name_H-M 'P 1'
_symmetry_Int_Tables_number 1
_symmetry_space_group_name_Hall 'P 1'
_cell_length_a 8.220
_cell_length_b 8.220
_cell_length_c 8.220
_cell_angle_alpha 31.09
_cell_angle_beta 31.09
_cell_angle_gamma 31.09
loop_
_atom_site_label
_atom_site_type_symbol
_atom_site_fract_x
_atom_site_fract_y
_atom_site_fract_z
_atom_site_occupancy
Sr1 Sr 0.000 0.000 0.000 1
Sr2 Sr 0.178 0.178 0.178 1
Ag1 Ag 0.757 0.757 0.757 1
P1 P 0.420 0.420 0.420 1
```

Results
ΔE_f: -2.2 eV per formula unit
symmetry: R3m (160)


Material: SrAgP
Method: DFT, PBE
State: relaxed

Cell and atoms, written as CIF:
```
data_SrAgP
_symmetry_space_group_name_H-M 'P 1'
_symmetry_Int_Tables_number 1
_symmetry_space_group_name_Hall 'P 1'
_cell_length_a 5.667
_cell_length_b 5.667
_cell_length_c 5.667
_cell_angle_alpha 140.52
_cell_angle_beta 140.52
_cell_angle_gamma 57.06
loop_
_atom_site_label
_atom_site_type_symbol
_atom_site_fract_x
_atom_site_fract_y
_atom_site_fract_z
_atom_site_occupancy
Sr1 Sr 0.000 0.000 0.000 1
Ag1 Ag 0.295 0.295 0.000 1
P1 P 0.698 0.698 0.000 1
```

Results
ΔE_f: -0.5 eV per formula unit
symmetry: I4mm (107)